Entry 1:
Below is an optimized crystal structure of ZnCu8Ni4, with properties calculated at the PBE level.

Results
Formation energy from the elements ... 178 meV/atom

```
data_ZnCu8Ni4
_cell_length_a 4.8948
_cell_length_b 4.8948
_cell_length_c 23.7932
_cell_angle_alpha 90.00
_cell_angle_beta 90.00
_cell_angle_gamma 120.00
_symmetry_space_group_name_H-M 'R -3 m'
_symmetry_Int_Tables_number 166
_symmetry_space_group_name_Hall '-R 3 2"'
loop_
_atom_site_label
_atom_site_type_symbol
_atom_site_fract_x
_atom_site_fract_y
_atom_site_fract_z
Zn1 Zn 0.0000 0.0000 0.0000
Cu1 Cu 0.0000 0.0000 0.1828
Cu2 Cu 0.0026 0.5013 0.7547
Ni1 Ni 0.0000 0.0000 0.5000
Ni2 Ni 0.0000 0.5000 0.0000
```



Entry 2:
Below is an optimized crystal structure of LaCePtAu, with properties calculated at the PBE level.

Results
Formation energy from the elements ... -921 meV/atom

```
data_LaCePtAu
_cell_length_a 4.598
_cell_length_b 3.932
_cell_length_c 11.413
_cell_angle_alpha 90.00
_cell_angle_beta 90.00
_cell_angle_gamma 90.00
_symmetry_space_group_name_H-M 'A m m 2'
_symmetry_Int_Tables_number 38
loop_
_symmetry_equiv_pos_as_xyz
'x,y,z'
'-x,-y,z'
'-x,y,z'
'x,-y,z'
'x,y+1/2,z+1/2'
'-x,-y+1/2,z+1/2'
'-x,y+1/2,z+1/2'
'x,-y+1/2,z+1/2'
loop_
_atom_site_label
_atom_site_type_symbol
_atom_site_fract_x
_atom_site_fract_y
_atom_site_fract_z
La1 La 0.000 0.000 0.000
Ce1 Ce 0.500 0.000 0.275
Pt1 Pt 0.000 0.000 0.738
Au1 Au 0.500 0.000 0.556
```



Entry 3:
Below is an optimized crystal structure of V4C2N, with properties calculated at the PBE level.

Results
Formation energy without anion corrections ... 0.13 eV/atom

```
data_V4C2N
_cell_length_a 3.652
_cell_length_b 3.652
_cell_length_c 11.194
_cell_angle_alpha 90.00
_cell_angle_beta 90.00
_cell_angle_gamma 90.00
_symmetry_space_group_name_H-M 'I 4/m m m'
_symmetry_Int_Tables_number 139
_symmetry_space_group_name_Hall '-I 4 2'
loop_
_atom_site_label
_atom_site_type_symbol
_atom_site_fract_x
_atom_site_fract_y
_atom_site_fract_z
V1 V 0.000 0.000 0.182
V2 V 0.000 0.500 0.000
C1 C 0.000 0.000 0.362
N1 N 0.000 0.000 0.000
```



Entry 4:
Below is an optimized crystal structure of CsSiP2Cl, with properties calculated at the PBE level.

Results
Formation energy without anion corrections ... -0.07 eV/atom

```
data_CsSiP2Cl
_cell_length_a 4.557
_cell_length_b 4.557
_cell_length_c 6.775
_cell_angle_alpha 90.00
_cell_angle_beta 90.00
_cell_angle_gamma 90.00
_symmetry_space_group_name_H-M 'P 4/m m m'
_symmetry_Int_Tables_number 123
_symmetry_space_group_name_Hall '-P 4 2'
loop_
_atom_site_label
_atom_site_type_symbol
_atom_site_fract_x
_atom_site_fract_y
_atom_site_fract_z
Cs1 Cs 0.000 0.000 0.000
Si1 Si 0.500 0.500 0.500
P1 P 0.000 0.500 0.500
Cl1 Cl 0.500 0.500 0.000
```



Results for energy above the most stable polymorph in this dataset: 0.0; 0.0; 710.1; 0.0 (in meV per atom, following the order of the records).